(1)
! Dy2MgCl | Alexandria via LeMat-Bulk | GGA-PBE | optimized geometry; values from VASP
&SYSTEM
  ibrav = 0, nat = 4, ntyp = 3
/
ATOMIC_SPECIES
Dy 162.50 Dy.upf
Mg 24.30 Mg.upf
Cl 35.45 Cl.upf
ATOMIC_POSITIONS angstrom
Dy 0.000 0.000 3.273
Dy 0.000 0.000 29.764
Mg 0.000 0.000 0.000
Cl 0.000 0.000 16.518
CELL_PARAMETERS angstrom
1.692 0.977 11.012
-1.692 0.977 11.012
0.000 -1.953 11.012
! Formation energy without anion corrections   -0.371 eV per atom
! Space group   No. 166



(2)
! DyMgCl | Alexandria via LeMat-Bulk | GGA-PBE | optimized geometry; values from VASP
&SYSTEM
  ibrav = 0, nat = 6, ntyp = 3
/
ATOMIC_SPECIES
Dy 162.50 Dy.upf
Mg 24.30 Mg.upf
Cl 35.45 Cl.upf
ATOMIC_POSITIONS angstrom
Dy 2.747 0.000 0.000
Dy 14.745 0.000 0.000
Mg 0.000 0.000 2.013
Mg 8.746 0.000 0.720
Cl 7.188 0.000 2.719
Cl 10.304 0.000 2.719
CELL_PARAMETERS angstrom
17.492 0.000 0.000
0.000 1.733 2.999
0.000 -1.733 2.999
! Formation energy without anion corrections   -0.578 eV per atom
! Space group   No. 38



(3)
! DyMgTlCl6 | Alexandria via LeMat-Bulk | GGA-PBE | optimized geometry; values from VASP
&SYSTEM
  ibrav = 0, nat = 18, ntyp = 4
/
ATOMIC_SPECIES
Dy 162.50 Dy.upf
Mg 24.30 Mg.upf
Tl 204.38 Tl.upf
Cl 35.45 Cl.upf
ATOMIC_POSITIONS angstrom
Dy 0.000 3.921 3.539
Dy 3.395 1.960 10.617
Mg 0.000 3.921 10.617
Mg 3.395 1.960 3.539
Tl 0.000 0.000 0.000
Tl 0.000 0.000 7.078
Cl -1.204 2.240 9.144
Cl -2.058 3.718 12.089
Cl 1.204 2.240 12.089
Cl -0.853 5.804 9.144
Cl 2.542 0.077 2.067
Cl 1.337 2.163 5.011
Cl 2.058 3.718 9.144
Cl 0.853 5.804 12.089
Cl 4.249 0.077 5.011
Cl 2.191 3.641 2.067
Cl 5.453 2.163 2.067
Cl 4.600 3.641 5.011
CELL_PARAMETERS angstrom
6.791 0.000 0.000
-3.395 5.881 0.000
0.000 0.000 14.156
! Formation energy without anion corrections   -1.883 eV per atom
! Space group   No. 163



(4)
! DyMg2TlCl8 | Alexandria via LeMat-Bulk | GGA-PBE | optimized geometry; values from VASP
&SYSTEM
  ibrav = 0, nat = 12, ntyp = 4
/
ATOMIC_SPECIES
Dy 162.50 Dy.upf
Mg 24.30 Mg.upf
Tl 204.38 Tl.upf
Cl 35.45 Cl.upf
ATOMIC_POSITIONS angstrom
Dy 0.000 0.000 0.000
Mg 4.738 3.868 6.173
Mg 4.753 3.859 2.484
Tl 0.870 0.680 4.329
Cl 2.710 5.134 1.882
Cl 3.681 3.076 8.249
Cl 4.050 6.184 6.732
Cl 3.420 2.881 4.421
Cl 6.072 4.846 4.237
Cl 5.442 1.543 1.926
Cl 5.810 4.651 0.409
Cl 6.782 2.593 6.776
CELL_PARAMETERS angstrom
6.479 0.000 0.000
1.272 6.367 0.000
1.741 1.360 8.658
! Formation energy without anion corrections   -1.808 eV per atom
! Space group   No. 2



| no. | VASP energy (eV/f.u.) | DOS at the Fermi energy (states/eV/f.u.) |
| --- | --- | --- |
| 1 | -14.1 | 4.6 |
| 2 | -9.8 | 2.8 |
| 3 | -36.6 | 0.0 |
| 4 | -46.6 | 0.0 |